No. 1
NaNbRu3 PBE optimized geometry; formation enthalpy at 0 K = 31.08 kcal/mol of atoms; VASP energy = -32.48 eV per cell; E above lowest polymorph = 0 meV per atom
1.0
4.7956 0.0000 0.0000
0.0000 4.7956 0.0000
0.0000 0.0000 4.7956
Na Nb Ru
1 1 3
Cartesian
0.0000 0.0000 0.0000
2.3978 2.3978 2.3978
0.0000 2.3978 2.3978
2.3978 0.0000 2.3978
2.3978 2.3978 0.0000


No. 2
NaNbSi2Ru PBE optimized geometry; raw formation energy = 917 meV/atom; VASP energy = -26.93 eV per cell
1.0
4.4912 0.0000 0.0000
0.0000 4.4912 0.0000
0.0000 0.0000 4.7271
Na Nb Si Ru
1 1 2 1
Cartesian
0.0000 0.0000 0.0000
2.2456 2.2456 0.0000
0.0000 2.2456 2.3636
2.2456 0.0000 2.3636
0.0000 0.0000 2.3636


No. 3
NaNbSn2Ru PBE optimized geometry; formation enthalpy at 0 K = 42.72 kcal/mol of atoms; VASP energy = -19.41 eV per cell
1.0
4.9749 0.0000 0.0000
0.0000 4.9749 0.0000
0.0000 0.0000 4.8089
Na Nb Sn Ru
1 1 2 1
Cartesian
0.0000 0.0000 0.0000
0.0000 0.0000 2.4045
0.0000 2.4875 0.0000
2.4875 0.0000 0.0000
2.4875 2.4875 2.4045


No. 4
Na2YNbRu PBE optimized geometry; formation enthalpy at 0 K = 47.40 kcal/mol of atoms; VASP energy = -18.17 eV per cell
1.0
5.1462 0.0000 0.0000
0.0000 5.1462 0.0000
0.0000 0.0000 4.9939
Na Y Nb Ru
2 1 1 1
Cartesian
0.0000 2.5731 0.0000
2.5731 0.0000 0.0000
0.0000 0.0000 0.0000
0.0000 0.0000 2.4970
2.5731 2.5731 2.4970


No. 5
Na8NbS6 PBE optimized geometry; raw formation energy = -968 meV/atom; VASP energy = -119.82 eV per cell
1.0
7.9066 0.0000 0.0000
0.0000 8.3089 0.0000
0.0000 0.0000 11.5291
Na Nb S
16 2 12
Cartesian
0.0000 1.1514 0.0000
0.0000 1.8664 5.1571
1.5410 5.5490 1.2780
1.5943 4.8107 9.1992
1.8078 7.8576 8.8186
2.1455 0.4513 3.0540
2.3590 3.4982 3.4347
2.4123 2.7600 7.0426
3.9533 6.4425 10.9217
3.9533 7.1575 5.7646
5.4943 2.7600 7.0426
5.5476 3.4982 3.4347
5.7611 0.4513 3.0540
6.0988 7.8576 8.8186
6.3123 4.8107 9.1992
6.3656 5.5490 1.2780
0.0000 6.1016 5.3666
3.9533 2.2073 11.1312
0.0000 2.2545 2.5517
0.0000 4.1547 6.7660
0.0000 6.5368 10.7609
0.0000 8.0182 6.7166
1.8982 6.1635 3.9859
2.0551 2.1455 9.7505
3.9533 0.2907 0.9521
3.9533 1.7721 4.9963
3.9533 4.1543 1.0014
3.9533 6.0544 8.3163
5.8515 2.1455 9.7505
6.0084 6.1635 3.9859


No. 6
NaNbS3 PBE optimized geometry; raw formation energy = -786 meV/atom; VASP energy = -27.70 eV per cell; E above lowest polymorph = 114 meV per atom
1.0
4.8427 0.0000 0.0000
0.0000 4.8427 0.0000
0.0000 0.0000 4.8427
Na Nb S
1 1 3
Cartesian
0.0000 0.0000 0.0000
2.4213 2.4213 2.4213
0.0000 2.4213 2.4213
2.4213 0.0000 2.4213
2.4213 2.4213 0.0000


No. 7
NaNbS3 PBE optimized geometry; raw formation energy = -893 meV/atom; VASP energy = -56.47 eV per cell; E above lowest polymorph = 7 meV per atom
1.0
4.5694 -6.6192 0.0000
4.5694 6.6192 0.0000
0.0000 0.0000 3.5131
Na Nb S
2 2 6
Cartesian
0.0000 0.0000 0.0000
4.5694 0.0000 1.7565
2.2847 3.3096 0.0000
2.2847 -3.3096 0.0000
1.6235 1.7300 1.7565
1.6235 -1.7300 1.7565
4.5694 2.3151 0.0000
4.5694 -2.3151 0.0000
7.5154 1.7300 1.7565
7.5154 -1.7300 1.7565


No. 8
NaNb6S8 PBE optimized geometry; raw formation energy = -1105 meV/atom; VASP energy = -111.34 eV per cell; E above lowest polymorph = 0 meV per atom
1.0
9.6312 0.0000 0.0000
-4.8156 8.3409 0.0000
0.0000 0.0000 3.4293
Na Nb S
1 6 8
Cartesian
0.0000 0.0000 0.0000
-1.2665 4.0618 2.5735
-0.6647 7.4068 2.5735
2.8844 3.1277 0.8558
1.9312 5.2132 2.5735
5.4804 0.9341 0.8558
6.0821 4.2791 0.8558
-2.9086 5.9599 2.5686
1.1085 2.8420 2.5686
0.0000 5.5606 0.8583
3.0155 0.4611 0.8606
1.8001 7.8799 2.5686
4.8156 2.7803 2.5710
3.7072 5.4989 0.8606
7.7242 2.3810 0.8606